No. 1
DFT (PBE-GGA) results for a relaxed structure of Co5NiRh2.

The structure belongs to space group Immm (No. 71); the cell edges are 2.5715, 7.9524 and 9.6088 Å and the angles 90.00°, 90.00° and 90.00°. The inequivalent atoms are Co at (0.0000, 0.0000, 0.0000), Co at (0.0000, 0.2713, 0.3782), Ni at (0.0000, 0.5000, 0.0000) and Rh at (0.0000, 0.0000, 0.2600).

As for the total energy: -6.853 eV/atom. The energy relative to the elements is 0.15 eV per atom. The value obtained for the density of states at the Fermi level is 9.7 states/eV/f.u. Its magnetization is 11.01 μB/f.u. As for the theoretical density: 9.451 g/cm3.



No. 2
DFT (PBE-GGA) results for a relaxed structure of Ce3Nd4ErSe8.

The structure belongs to space group R-3m (No. 166, hexagonal axes); the cell edges are 8.3913, 8.3913 and 20.5662 Å and the angles 90.00°, 90.00° and 120.00°. The inequivalent atoms are Ce at (0.0000, 0.5000, 0.0000), Nd at (0.0000, 0.0000, 0.5000), Nd at (0.0000, 0.5000, 0.5000), Er at (0.0000, 0.0000, 0.0000), Se at (0.0000, 0.0000, 0.2508) and Se at (0.0070, 0.5035, 0.7473).

As for the formation energy (no corrections): -29.08 eV/f.u. As for the total energy: -6.150 eV/atom. The value obtained for the density of states at the Fermi level is 21.8 states/eV/f.u. Its magnetization is 2.74 μB/f.u. As for the theoretical density: 7.135 g/cm3.



No. 3
DFT (PBE-GGA) results for a relaxed structure of BaReBiMo2.

The structure belongs to space group P4/mmm (No. 123); the cell edges are 5.0774, 5.0774 and 5.0715 Å and the angles 90.00°, 90.00° and 90.00°. The inequivalent atoms are Ba at (0.0000, 0.0000, 0.0000), Re at (0.0000, 0.0000, 0.5000), Bi at (0.5000, 0.5000, 0.5000) and Mo at (0.0000, 0.5000, 0.0000).

As for the total energy: -4.914 eV/atom. The energy relative to the elements is 3.07 eV per atom. The value obtained for the density of states at the Fermi level is 5.5 states/eV/f.u. Its magnetization is 3.59 μB/f.u. As for the theoretical density: 9.200 g/cm3.



No. 4
DFT (PBE-GGA) results for a relaxed structure of V5TcW2.

The structure belongs to space group Pbam (No. 55); the cell edges are 5.1545, 10.1644 and 4.3779 Å and the angles 90.00°, 90.00° and 90.00°. The inequivalent atoms are V at (0.0000, 0.0000, 0.0000), V at (0.1419, 0.2523, 0.0000), V at (0.1633, 0.6144, 0.5000), Tc at (0.0000, 0.5000, 0.0000) and W at (0.1624, 0.8710, 0.5000).

As for the total energy: -10.296 eV/atom. The energy relative to the elements is -0.06 eV per atom. The value obtained for the density of states at the Fermi level is 7.0 states/eV/f.u. Its magnetization is 0.00 μB/f.u. As for the theoretical density: 10.431 g/cm3.